Material: CoTePb2O4
Method: DFT, PBE+U
State: relaxed

Properties
For the calculated total energy, the calculation gives -5.325 eV per atom. The space group is No. 12.

Cell: 6.142 6.142 5.018 Å, 67.47 67.47 55.22°
Element x y z (fractional)
Pb 0.239 0.239 0.265
Pb 0.761 0.761 0.735
Te 0.500 0.500 0.500
O 0.662 0.139 0.316
O 0.861 0.338 0.684
O 0.139 0.662 0.316
O 0.338 0.861 0.684
Co 0.000 0.000 0.000